Dy3PaCo8 after structural relaxation. Source: Alexandria, functional PBE.

a = 8.7413 Å, b = 8.7413 Å, c = 8.7413 Å
α = 33.44°, β = 33.44°, γ = 33.44°
Positions (direct):
Dy (0.0000, 0.0000, 0.0000)
Dy (0.1245, 0.1245, 0.1245)
Dy (0.6273, 0.6273, 0.6273)
Pa (0.5022, 0.5022, 0.5022)
Co (0.0633, 0.0633, 0.5602)
Co (0.0633, 0.5602, 0.0633)
Co (0.0667, 0.5631, 0.5631)
Co (0.3138, 0.3138, 0.3138)
Co (0.5602, 0.0633, 0.0633)
Co (0.5631, 0.0667, 0.5631)
Co (0.5631, 0.5631, 0.0667)
Co (0.8134, 0.8134, 0.8134)

Results
- Symmetry: R3m
- DOS(E_F): 15.52 states/eV/f.u.
- Energy of formation from the pure elements: -0.212 eV/atom